Entry 1:
## LiNd2OsO6 (SCAN)

Data for a PBEsol-optimized structure of LiNd2OsO6.

a b c (Å): 5.386 5.773 9.338
angles (deg): 90.00 124.61 90.00
Sites, in units of the cell vectors:
Li (0.000, 0.000, 0.000)
Li (0.000, 0.500, 0.500)
Nd (0.231, 0.072, 0.749)
Nd (0.231, 0.428, 0.249)
Nd (0.769, 0.572, 0.751)
Nd (0.769, 0.928, 0.251)
Os (0.500, 0.000, 0.500)
Os (0.500, 0.500, 0.000)
O (0.154, 0.187, 0.452)
O (0.154, 0.313, 0.952)
O (0.266, 0.711, 0.448)
O (0.266, 0.789, 0.948)
O (0.351, 0.030, 0.254)
O (0.351, 0.470, 0.754)
O (0.649, 0.530, 0.246)
O (0.649, 0.970, 0.746)
O (0.734, 0.211, 0.052)
O (0.734, 0.289, 0.552)
O (0.846, 0.687, 0.048)
O (0.846, 0.813, 0.548)

Output
Space group ... No. 14
E_form (uncorrected) ... -2671 meV/atom

---

Entry 2:
## SrRe2Sb (SCAN)

Data for a PBEsol-optimized structure of SrRe2Sb.

a b c (Å): 5.976 5.976 5.976
angles (deg): 148.72 127.04 62.81
Sites, in units of the cell vectors:
Sr (0.000, 0.000, 0.000)
Re (0.305, 0.805, 0.500)
Re (0.479, 0.479, 0.000)
Sb (0.716, 0.216, 0.500)

Output
Space group ... No. 44
E_form (uncorrected) ... 677 meV/atom

---

Entry 3:
## GeRuS2Br (SCAN)

Data for a PBEsol-optimized structure of GeRuS2Br.

a b c (Å): 4.493 4.493 5.103
angles (deg): 90.00 90.00 90.00
Sites, in units of the cell vectors:
Ge (0.000, 0.000, 0.000)
Ru (0.500, 0.500, 0.500)
S (0.000, 0.500, 0.500)
S (0.500, 0.000, 0.500)
Br (0.500, 0.500, 0.000)

Output
Space group ... No. 123
E_form (uncorrected) ... 377 meV/atom

---

Entry 4:
## K2NiP4H8O16 (SCAN)

Data for a PBEsol-optimized structure of K2NiP4H8O16.

a b c (Å): 6.855 7.292 7.422
angles (deg): 80.51 73.34 84.09
Sites, in units of the cell vectors:
K (0.119, 0.240, 0.302)
K (0.881, 0.760, 0.698)
Ni (0.500, 0.000, 0.500)
P (0.251, 0.307, 0.763)
P (0.323, 0.772, 0.242)
P (0.677, 0.228, 0.758)
P (0.749, 0.693, 0.237)
H (0.063, 0.775, 0.069)
H (0.249, 0.543, 0.483)
H (0.371, 0.826, 0.852)
H (0.384, 0.684, 0.704)
H (0.616, 0.316, 0.296)
H (0.629, 0.174, 0.148)
H (0.751, 0.457, 0.517)
H (0.937, 0.225, 0.931)
O (0.069, 0.286, 0.945)
O (0.232, 0.581, 0.339)
O (0.236, 0.847, 0.075)
O (0.259, 0.167, 0.632)
O (0.260, 0.510, 0.665)
O (0.297, 0.901, 0.388)
O (0.438, 0.268, 0.858)
O (0.451, 0.792, 0.725)
O (0.549, 0.208, 0.275)
O (0.562, 0.732, 0.142)
O (0.703, 0.099, 0.612)
O (0.740, 0.490, 0.335)
O (0.741, 0.833, 0.368)
O (0.764, 0.153, 0.925)
O (0.768, 0.419, 0.661)
O (0.931, 0.714, 0.055)

Output
Uncorrected energy ... -260.50 eV per cell
Space group ... No. 2